{
  "formula": "CoNi5",
  "functional": "PBE",
  "state": "optimized geometry",
  "total_energy_ev_per_atom": -5.64,
  "crystal_system": "hexagonal",
  "mass_density_g_cm3": 8.6,
  "m_tot_mub_per_atom": 0.767,
  "lattice": [[-1.884, -2.297, 3.495], [0.112, -1.878, -4.183], [6.612, -3.062, 1.551]],
  "species": ["Co", "Co", "Ni", "Ni", "Ni", "Ni", "Ni", "Ni", "Ni", "Ni", "Ni", "Ni"],
  "frac_coords": [[0.000, 0.000, 0.000], [0.000, 0.000, 0.500], [0.333, 0.667, 0.064], [0.341, 0.170, 0.250], [0.830, 0.170, 0.250], [0.830, 0.659, 0.250], [0.333, 0.667, 0.436], [0.667, 0.333, 0.564], [0.170, 0.341, 0.750], [0.170, 0.830, 0.750], [0.659, 0.830, 0.750], [0.667, 0.333, 0.936]]
}

{
  "formula": "CoNi2",
  "functional": "PBE",
  "state": "optimized geometry",
  "total_energy_ev_per_atom": -5.89,
  "crystal_system": "orthorhombic",
  "mass_density_g_cm3": 8.7,
  "m_tot_mub_per_atom": 0.966,
  "lattice": [[2.294, -3.993, 0.000], [2.294, 3.993, 0.000], [0.000, 0.000, 7.380]],
  "species": ["Co", "Co", "Co", "Co", "Ni", "Ni", "Ni", "Ni", "Ni", "Ni", "Ni", "Ni"],
  "frac_coords": [[0.000, 0.000, 0.000], [0.830, 0.170, 0.250], [0.000, 0.000, 0.500], [0.170, 0.830, 0.750], [0.332, 0.668, 0.068], [0.344, 0.168, 0.250], [0.832, 0.656, 0.250], [0.332, 0.668, 0.432], [0.668, 0.332, 0.568], [0.168, 0.344, 0.750], [0.656, 0.832, 0.750], [0.668, 0.332, 0.932]]
}

no.,DFT formation energy (eV/atom)
1,0.187
2,0.195